Material: HoCoO3
Method: DFT, GGA+U
State: optimized geometry

Properties
As for the space-group type: No. 167. As for the uncorrected energy: -7.07 eV per atom.

```
data_HoCoO3
_chemical_formula_sum 'Ho2 Co2 O6'
_symmetry_space_group_name_H-M 'P 1'
_symmetry_Int_Tables_number 1
_symmetry_space_group_name_Hall 'P 1'
_cell_length_a 5.9711
_cell_length_b 5.9711
_cell_length_c 5.9711
_cell_angle_alpha 54.82
_cell_angle_beta 54.82
_cell_angle_gamma 54.82
loop_
_atom_site_label
_atom_site_type_symbol
_atom_site_fract_x
_atom_site_fract_y
_atom_site_fract_z
Ho1 Ho 0.0000 0.0000 0.0000
Ho2 Ho 0.5000 0.5000 0.5000
Co1 Co 0.2500 0.2500 0.2500
Co2 Co 0.7500 0.7500 0.7500
O1 O 0.0745 0.7500 0.4255
O2 O 0.2500 0.5745 0.9255
O3 O 0.4255 0.0745 0.7500
O4 O 0.5745 0.9255 0.2500
O5 O 0.7500 0.4255 0.0745
O6 O 0.9255 0.2500 0.5745
```